Rb2CdHg12Au3 | PBE | relaxed

Formation enthalpy at 0 K = -23 meV/atom
Space group = No. 166
Uncorrected energy = -0.929 eV/atom

abc: 10.7519 10.7519 10.7519
angles: 50.96 50.96 50.96
Atoms (fractional coordinates):
1 Au 0.0000 0.5000 0.0000
2 Hg 0.6611 0.0729 0.0729
3 Hg 0.0379 0.6476 0.6476
4 Au 0.5000 0.0000 0.0000
5 Hg 0.6476 0.6476 0.0379
6 Hg 0.9271 0.9271 0.3389
7 Hg 0.3524 0.9621 0.3524
8 Rb 0.3599 0.3599 0.3599
9 Hg 0.6476 0.0379 0.6476
10 Hg 0.0729 0.0729 0.6611
11 Au 0.0000 0.0000 0.5000
12 Rb 0.6401 0.6401 0.6401
13 Hg 0.3524 0.3524 0.9621
14 Hg 0.9271 0.3389 0.9271
15 Cd 0.0000 0.0000 0.0000
16 Hg 0.0729 0.6611 0.0729
17 Hg 0.9621 0.3524 0.3524
18 Hg 0.3389 0.9271 0.9271